[1]
This record from the Alexandria database describes crystalline ScBeIr2 at its relaxed geometry. The functional is GGA-PBE.

a = 3.0544 Å, b = 3.0544 Å, c = 6.2906 Å
α = 90.00°, β = 90.00°, γ = 90.00°
Closest atoms and distances in Å follow each position.
Space group P4mm (No. 99)
Inequivalent atoms, fractional coordinates:
Sc 0.0000 0.0000 0.0000 [1 per cell]  5 Ir 2.68-2.72, 4 Be 2.91
Be 0.5000 0.5000 0.3110 [1 per cell]  4 Ir 2.29
Ir 0.0000 0.0000 0.4319 [1 per cell]  4 Be 2.29
Ir 0.5000 0.5000 0.7478 [1 per cell]  4 Sc 2.68, 1 Be 2.75, 4 Ir 2.93

Output
DOS(E_F)   2.24 states/eV/f.u.
ΔE_f   -0.415 eV per atom
Total magnetic moment   0.0 μB/f.u.
E   -7.36 eV per atom

[2]
This record from the Alexandria database describes crystalline Sc2BeIr at its relaxed geometry. The functional is GGA-PBE.

a = 4.4335 Å, b = 4.4335 Å, c = 6.3652 Å
α = 90.00°, β = 90.00°, γ = 90.00°
Closest atoms and distances in Å follow each position.
Space group I-4m2 (No. 119)
Inequivalent atoms, fractional coordinates:
Sc 0.0000 0.0000 0.0000 [2 per cell]  4 Be 2.73, 4 Sc 2.73
Sc 0.0000 0.5000 0.2500 [2 per cell]  4 Sc 2.73, 4 Ir 2.73
Be 0.0000 0.5000 0.7500 [2 per cell]  4 Ir 2.73, 4 Sc 2.73
Ir 0.0000 0.0000 0.5000 [2 per cell]  4 Be 2.73, 4 Sc 2.73

Output
DOS(E_F)   2.96 states/eV/f.u.
ΔE_f   -0.407 eV per atom
Total magnetic moment   0.0 μB/f.u.
E   -6.72 eV per atom

[3]
This record from the Alexandria database describes crystalline ScBeIr2 at its relaxed geometry. The functional is GGA-PBE.

a = 2.9712 Å, b = 4.7234 Å, c = 8.1263 Å
α = 90.00°, β = 90.00°, γ = 90.00°
Closest atoms and distances in Å follow each position.
Space group Immm (No. 71)
Inequivalent atoms, fractional coordinates:
Sc 0.0000 0.0000 0.0000 [2 per cell]  8 Ir 2.73-2.95, 4 Be 2.79, 2 Sc 2.97
Be 0.0000 0.0000 0.5000 [2 per cell]  4 Ir 2.31
Ir 0.0000 0.5000 0.2179 [4 per cell]  2 Be 2.31

Output
DOS(E_F)   2.75 states/eV/f.u.
ΔE_f   -0.508 eV per atom
Total magnetic moment   0.0 μB/f.u.
E   -7.45 eV per atom

[4]
This record from the Alexandria database describes crystalline ScBeIr2 at its relaxed geometry. The functional is GGA-PBE.

a = 4.0227 Å, b = 4.0227 Å, c = 16.2567 Å
α = 90.00°, β = 90.00°, γ = 90.00°
Closest atoms and distances in Å follow each position.
Space group I-42d (No. 122)
Inequivalent atoms, fractional coordinates:
Sc 0.0000 0.0000 0.0000 [4 per cell]  4 Ir 2.59, 4 Be 2.84
Be 0.0000 0.0000 0.5000 [4 per cell]  4 Ir 2.39
Ir 0.1894 0.2500 0.6250 [8 per cell]  2 Be 2.39, 2 Ir 2.52, 2 Sc 2.59

Output
DOS(E_F)   2.11 states/eV/f.u.
ΔE_f   -0.125 eV per atom
Total magnetic moment   0.0 μB/f.u.
E   -7.07 eV per atom